(1)
# ErPaN2

A relaxed structure of ErPaN2 (GGA-PBE, the Alexandria database).

The space group is P-3m1 (No. 164) and the conventional cell measures 3.3472, 3.3472 and 6.1248 Å, with angles of 90.00, 90.00 and 120.00 degrees. The distinct sites, in fractional coordinates, are Er at (0.0000, 0.0000, 0.0000), Pa at (0.0000, 0.0000, 0.5000) and N at (0.3333, 0.6667, 0.7580).

The density is 11.9 g cm⁻³. The value obtained for the formation energy without anion corrections is -1.26 eV/atom. Its volume is 59.4 Å³/f.u.

(2)
# ErPa3N6

A relaxed structure of ErPa3N6 (GGA-PBE, the Alexandria database).

The space group is Cmmm (No. 65) and the conventional cell measures 7.802, 11.176 and 3.670 Å, with angles of 90.00, 90.00 and 90.00 degrees. The distinct sites, in fractional coordinates, are Er at (0.000, 0.000, 0.000), Pa at (0.000, 0.500, 0.000), Pa at (0.250, 0.250, 0.500), N at (0.000, 0.148, 0.500) and N at (0.203, 0.370, 0.000).

The calculation puts the polymorph energy (0 for the lowest one) at 219.6 meV/atom. The density is 9.8 g cm⁻³. The value obtained for the formation energy without anion corrections is -1.43 eV/atom. Its volume is 160.0 Å³/f.u.